[1]
FeTc2Se | GGA-PBE | optimized geometry

The value obtained for the uncorrected formation energy is 0.4479 eV per atom.

The space group is F-43m (No. 216) and the conventional cell measures 6.147, 6.147 and 6.147 Å, with angles of 90.00, 90.00 and 90.00 degrees. The inequivalent atoms are Fe at (0.000, 0.000, 0.000), Tc at (0.000, 0.000, 0.500), Tc at (0.250, 0.250, 0.750) and Se at (0.250, 0.250, 0.250).


[2]
Fe2TcSe | GGA-PBE | optimized geometry

The value obtained for the uncorrected formation energy is 0.3040 eV per atom.

The space group is Pmmm (No. 47) and the conventional cell measures 3.013, 4.201 and 4.248 Å, with angles of 90.00, 90.00 and 90.00 degrees. The inequivalent atoms are Fe at (0.000, 0.000, 0.000), Fe at (0.500, 0.500, 0.000), Tc at (0.000, 0.500, 0.500) and Se at (0.500, 0.000, 0.500).


[3]
FeTc2Se | GGA-PBE | optimized geometry

The value obtained for the uncorrected formation energy is 0.2817 eV per atom.

The space group is Cm (No. 8) and the conventional cell measures 8.958, 2.921 and 4.435 Å, with angles of 90.00, 93.93 and 90.00 degrees. The inequivalent atoms are Fe at (0.000, 0.000, 0.000), Tc at (0.032, 0.500, 0.533), Tc at (0.265, 0.000, 0.765) and Se at (0.265, 0.500, 0.231).


[4]
FeTc2Se | GGA-PBE | optimized geometry

The value obtained for the uncorrected formation energy is 0.3024 eV per atom.

The space group is C2/m (No. 12) and the conventional cell measures 9.038, 2.949 and 4.402 Å, with angles of 90.00, 95.39 and 90.00 degrees. The inequivalent atoms are Fe at (0.000, 0.000, 0.000), Tc at (0.222, 0.500, 0.223) and Se at (0.000, 0.500, 0.500).


[5]
Fe2TcSe | GGA-PBE | optimized geometry

The value obtained for the uncorrected formation energy is 0.3127 eV per atom.

The space group is R-3m (No. 166, hexagonal axes) and the conventional cell measures 2.7950, 2.7950 and 24.0626 Å, with angles of 90.00, 90.00 and 120.00 degrees. The inequivalent atoms are Fe at (0.0000, 0.0000, 0.2479), Tc at (0.0000, 0.0000, 0.0000) and Se at (0.0000, 0.0000, 0.5000).


[6]
Fe2TcSe | GGA-PBE | optimized geometry

The value obtained for the uncorrected formation energy is 0.2697 eV per atom.

The space group is Immm (No. 71) and the conventional cell measures 2.932, 4.240 and 8.557 Å, with angles of 90.00, 90.00 and 90.00 degrees. The inequivalent atoms are Fe at (0.000, 0.000, 0.233), Tc at (0.000, 0.500, 0.000) and Se at (0.000, 0.500, 0.500).


[7]
FeTc2Se | GGA-PBE | optimized geometry

The value obtained for the uncorrected formation energy is 0.1642 eV per atom.

The space group is P4mm (No. 99) and the conventional cell measures 2.958, 2.958 and 6.448 Å, with angles of 90.00, 90.00 and 90.00 degrees. The inequivalent atoms are Fe at (0.000, 0.000, 0.000), Tc at (0.000, 0.000, 0.483), Tc at (0.500, 0.500, 0.736) and Se at (0.500, 0.500, 0.212).


[8]
Fe2TcSe | GGA-PBE | optimized geometry

The value obtained for the uncorrected formation energy is 0.4008 eV per atom.

The space group is P4/mmm (No. 123) and the conventional cell measures 4.120, 4.120 and 3.185 Å, with angles of 90.00, 90.00 and 90.00 degrees. The inequivalent atoms are Fe at (0.000, 0.500, 0.000), Tc at (0.000, 0.000, 0.500) and Se at (0.500, 0.500, 0.500).


[9]
Fe2TcSe | GGA-PBE | optimized geometry

The value obtained for the uncorrected formation energy is 0.3429 eV per atom.

The space group is Cmmm (No. 65) and the conventional cell measures 4.892, 7.761 and 2.883 Å, with angles of 90.00, 90.00 and 90.00 degrees. The inequivalent atoms are Fe at (0.250, 0.250, 0.000), Tc at (0.000, 0.000, 0.500) and Se at (0.000, 0.500, 0.500).


[10]
FeTcSe4 | GGA-PBE | optimized geometry

The value obtained for the uncorrected formation energy is 1.2458 eV per atom.

The space group is F-43m (No. 216) and the conventional cell measures 7.905, 7.905 and 7.905 Å, with angles of 90.00, 90.00 and 90.00 degrees. The inequivalent atoms are Fe at (0.000, 0.000, 0.000), Tc at (0.250, 0.250, 0.250) and Se at (0.125, 0.125, 0.625).


[11]
FeTc2Se | GGA-PBE | optimized geometry

The value obtained for the uncorrected formation energy is 0.3196 eV per atom.

The space group is Immm (No. 71) and the conventional cell measures 2.988, 4.307 and 8.939 Å, with angles of 90.00, 90.00 and 90.00 degrees. The inequivalent atoms are Fe at (0.000, 0.000, 0.000), Tc at (0.000, 0.500, 0.220) and Se at (0.000, 0.000, 0.500).


[12]
Fe2TcSe | GGA-PBE | optimized geometry

The value obtained for the uncorrected formation energy is 0.2482 eV per atom.

The space group is Cm (No. 8) and the conventional cell measures 8.566, 3.003 and 4.371 Å, with angles of 90.00, 105.84 and 90.00 degrees. The inequivalent atoms are Fe at (0.000, 0.000, 0.000), Fe at (0.237, 0.500, 0.122), Tc at (0.236, 0.000, 0.630) and Se at (0.491, 0.000, 0.451).


[13]
Y2FeTcSe | GGA-PBE | optimized geometry

The value obtained for the uncorrected formation energy is 0.3225 eV per atom.

The space group is P4/mmm (No. 123) and the conventional cell measures 5.328, 5.328 and 4.504 Å, with angles of 90.00, 90.00 and 90.00 degrees. The inequivalent atoms are Y at (0.000, 0.500, 0.000), Fe at (0.000, 0.000, 0.500), Tc at (0.500, 0.500, 0.500) and Se at (0.500, 0.500, 0.000).


[14]
FeTe2Se | GGA-PBE | optimized geometry

The value obtained for the uncorrected formation energy is 0.1544 eV per atom.

The space group is P4mm (No. 99) and the conventional cell measures 3.068, 3.068 and 10.388 Å, with angles of 90.00, 90.00 and 90.00 degrees. The inequivalent atoms are Fe at (0.000, 0.000, 0.000), Te at (0.000, 0.000, 0.483), Te at (0.500, 0.500, 0.826) and Se at (0.500, 0.500, 0.134).


[15]
FeTe2Se | GGA-PBE | optimized geometry

The value obtained for the uncorrected formation energy is 0.1373 eV per atom.

The space group is Imm2 (No. 44) and the conventional cell measures 3.115, 5.794 and 13.012 Å, with angles of 90.00, 90.00 and 90.00 degrees. The inequivalent atoms are Fe at (0.000, 0.000, 0.000), Te at (0.000, 0.000, 0.424), Te at (0.000, 0.500, 0.337) and Se at (0.000, 0.500, 0.634).


[16]
Fe4Te3Se | GGA-PBE | optimized geometry

As for the energy above the most stable polymorph in this dataset: 1.3 meV per atom. The value obtained for the uncorrected formation energy is -0.0937 eV per atom.

The space group is Pmm2 (No. 25) and the conventional cell measures 3.623, 7.213 and 6.562 Å, with angles of 90.00, 90.00 and 90.00 degrees. The inequivalent atoms are Fe at (0.000, 0.000, 0.000), Fe at (0.000, 0.500, 0.005), Fe at (0.500, 0.253, 0.001), Te at (0.000, 0.252, 0.720), Te at (0.500, 0.000, 0.281) and Se at (0.500, 0.500, 0.248).


[17]
Fe2TeSe | GGA-PBE | optimized geometry

The value obtained for the uncorrected formation energy is -0.0010 eV per atom.

The space group is Cm (No. 8) and the conventional cell measures 7.664, 3.275 and 6.631 Å, with angles of 90.00, 100.67 and 90.00 degrees. The inequivalent atoms are Fe at (0.000, 0.000, 0.000), Fe at (0.233, 0.500, 0.132), Te at (0.255, 0.000, 0.788) and Se at (0.469, 0.000, 0.288).


[18]
Fe2TeSe | GGA-PBE | optimized geometry

The value obtained for the uncorrected formation energy is 0.4012 eV per atom.

The space group is Immm (No. 71) and the conventional cell measures 4.111, 5.511 and 6.567 Å, with angles of 90.00, 90.00 and 90.00 degrees. The inequivalent atoms are Fe at (0.000, 0.000, 0.194), Te at (0.000, 0.500, 0.000) and Se at (0.000, 0.500, 0.500).


[19]
FeTe2Se | GGA-PBE | optimized geometry

The value obtained for the uncorrected formation energy is 0.2142 eV per atom.

The space group is Immm (No. 71) and the conventional cell measures 3.373, 4.524 and 12.598 Å, with angles of 90.00, 90.00 and 90.00 degrees. The inequivalent atoms are Fe at (0.000, 0.000, 0.000), Te at (0.000, 0.500, 0.337) and Se at (0.000, 0.000, 0.500).


[20]
Fe2TeSe | GGA-PBE | optimized geometry

The value obtained for the uncorrected formation energy is 0.2252 eV per atom.

The space group is I-42d (No. 122) and the conventional cell measures 5.436, 5.436 and 11.086 Å, with angles of 90.00, 90.00 and 90.00 degrees. The inequivalent atoms are Fe at (0.218, 0.250, 0.125), Te at (0.000, 0.000, 0.500) and Se at (0.000, 0.000, 0.000).